(1)
Crystalline TaInH3 at its relaxed geometry. Source: the Alexandria database, functional PBE.

a = 3.7213 Å, b = 3.7213 Å, c = 3.7213 Å
α = 90.00°, β = 90.00°, γ = 90.00°
Last column: nearest neighbours and their distance in Å.
Element x y z (fractional)
Ta 0.0000 0.0000 0.0000  6 H 1.86
In 0.5000 0.5000 0.5000  12 H 2.63
H 0.0000 0.0000 0.5000  2 Ta 1.86
H 0.0000 0.5000 0.0000  2 Ta 1.86
H 0.5000 0.0000 0.0000  2 Ta 1.86

Total magnetization   0.00 μB/atom
Space group   Pm-3m
Total energy   -23.5 eV/cell
Excess energy over the best structure of this formula in the dataset   0.000 eV per atom

=====

(2)
Crystalline Pd6PbAu2 at its relaxed geometry. Source: the Alexandria database, functional PBE.

a = 4.8944 Å, b = 4.8944 Å, c = 8.5370 Å
α = 103.95°, β = 103.95°, γ = 50.40°
Last column: nearest neighbours and their distance in Å.
Element x y z (fractional)
Pd 0.0092 0.0092 0.3385  3 Au 2.79-2.86, 8 Pd 2.80-2.95, 1 Pb 2.87
Pd 0.3387 0.3387 0.4459  3 Au 2.76-2.84, 9 Pd 2.76-2.91
Pd 0.3415 0.3415 0.1140  3 Pb 2.83-2.92, 5 Pd 2.84-3.01, 4 Au 2.87-2.95
Pd 0.6585 0.6585 0.8860  3 Pb 2.83-2.92, 5 Pd 2.84-3.01, 4 Au 2.87-2.95
Pd 0.6613 0.6613 0.5541  3 Au 2.76-2.84, 9 Pd 2.76-2.91
Pd 0.9908 0.9908 0.6615  3 Au 2.79-2.86, 8 Pd 2.80-2.95, 1 Pb 2.87
Pb 0.0000 0.0000 0.0000  8 Pd 2.83-2.92, 4 Au 3.06
Au 0.3170 0.3170 0.7621  10 Pd 2.76-2.95, 2 Pb 3.06
Au 0.6830 0.6830 0.2379  10 Pd 2.76-2.95, 2 Pb 3.06

Total magnetization   0.00 μB/atom
E_form   -13 kJ/mol of atoms
Space group   C2/m
Total energy   -42.6 eV/cell

=====

(3)
Crystalline Zn6CuNi2 at its relaxed geometry. Source: the Alexandria database, functional PBE.

a = 5.7690 Å, b = 5.7690 Å, c = 5.7690 Å
α = 135.52°, β = 104.24°, γ = 92.32°
Last column: nearest neighbours and their distance in Å.
Element x y z (fractional)
Zn 0.0154 0.8305 0.1849  3 Ni 2.55-2.59, 1 Cu 2.61, 7 Zn 2.62-2.71
Zn 0.3084 0.5000 0.8084  2 Ni 2.55, 2 Cu 2.57, 7 Zn 2.64-2.71
Zn 0.3544 0.1695 0.1849  3 Ni 2.55-2.59, 1 Cu 2.61, 7 Zn 2.62-2.71
Zn 0.6456 0.8305 0.8151  3 Ni 2.55-2.59, 1 Cu 2.61, 7 Zn 2.62-2.71
Zn 0.6916 0.5000 0.1916  2 Ni 2.55, 2 Cu 2.57, 7 Zn 2.64-2.71
Zn 0.9846 0.1695 0.8151  3 Ni 2.55-2.59, 1 Cu 2.61, 7 Zn 2.62-2.71
Cu 0.5000 0.0000 0.5000  8 Zn 2.57-2.61, 2 Ni 2.67
Ni 0.1656 0.6656 0.5000  8 Zn 2.55-2.59, 1 Ni 2.65, 1 Cu 2.67
Ni 0.8344 0.3344 0.5000  8 Zn 2.55-2.59, 1 Ni 2.65, 1 Cu 2.67

Total magnetization   0.00 μB/atom
E_form   -4 kJ/mol of atoms
Space group   Immm
Total energy   -23.6 eV/cell
Excess energy over the best structure of this formula in the dataset   0.088 eV per atom